(one)
A plane-wave DFT calculation with PBE was carried out for crystalline TaPHS2 at its relaxed geometry.

Computed properties:
- Fermi-level density of states (states/eV per cell) = 2.329
- total moment (μB per cell) = 0.000

a = 4.4690 Å, b = 4.4690 Å, c = 3.1757 Å
α = 90.00°, β = 90.00°, γ = 90.00°
Last column: nearest neighbours and their distance in Å.
Space group P4/mmm (No. 123)
Asymmetric unit:
Ta  0.0000  0.0000  0.0000  8 S 2.74
P  0.5000  0.5000  0.0000  2 H 1.59
H  0.5000  0.5000  0.5000  2 P 1.59
S  0.0000  0.5000  0.5000  2 H 2.23

=====

(two)
A plane-wave DFT calculation with PBE was carried out for crystalline TaPHS2 at its relaxed geometry.

Computed properties:
- Fermi-level density of states (states/eV per cell) = 2.191
- total moment (μB per cell) = 0.030

a = 4.7679 Å, b = 4.7679 Å, c = 4.9357 Å
α = 90.00°, β = 90.00°, γ = 90.00°
Last column: nearest neighbours and their distance in Å.
Space group P4/mmm (No. 123)
Asymmetric unit:
Ta  0.0000  0.0000  0.0000  4 S 2.38, 2 P 2.47
P  0.0000  0.0000  0.5000  2 Ta 2.47
H  0.5000  0.5000  0.5000  4 P 3.37, 8 S 3.43
S  0.0000  0.5000  0.0000  2 Ta 2.38

=====

(two) takes first place; second place is 0.016 eV/atom up.